This record from Alexandria describes Li3Sm after structural relaxation. The functional is GGA-PBE.

The structure in POSCAR format:
```
Li3Sm
1.0
2.243 1.607 6.042
-5.938 -2.898 -0.676
2.195 -4.593 0.407
Li Sm
6 2
Direct
0.701 0.851 0.250 Li
0.149 0.299 0.250 Li
0.851 0.149 0.750 Li
0.149 0.851 0.250 Li
0.851 0.701 0.750 Li
0.299 0.149 0.750 Li
0.333 0.667 0.750 Sm
0.667 0.333 0.250 Sm
```

Output
**Distance to the lowest polymorph of the same formula**: 0.67 eV per formula unit
**Uncorrected energy**: -0.0885 Ha/atom

This record from Alexandria describes Li3Sm after structural relaxation. The functional is GGA-PBE.

The structure in POSCAR format:
```
Li3Sm
1.0
3.435 0.000 0.000
0.000 3.435 0.000
0.000 0.000 16.224
Li Sm
6 2
Direct
0.500 0.000 0.768 Li
0.000 0.500 0.663 Li
0.500 0.000 0.553 Li
0.000 0.500 0.447 Li
0.500 0.000 0.337 Li
0.000 0.500 0.232 Li
0.500 0.000 0.081 Sm
0.000 0.500 0.919 Sm
```

Output
**Distance to the lowest polymorph of the same formula**: 0.00 eV per formula unit
**Uncorrected energy**: -0.0947 Ha/atom

What formation energy values result from the calculations? In sequence: 0.2063, 0.0392 eV per atom.